# Er6Hg5Bi PBE optimized geometry
data_Er6Hg5Bi
_chemical_formula_sum 'Er12 Hg10 Bi2'
_space_group_name_H-M_alt 'C 1 2/m 1'
_space_group_IT_number 12
_space_group_name_Hall '-C 2y'
_cell_length_a 16.6156
_cell_length_b 7.4220
_cell_length_c 5.2594
_cell_angle_alpha 90.00
_cell_angle_beta 108.14
_cell_angle_gamma 90.00
loop_
_atom_site_label
_atom_site_type_symbol
_atom_site_fract_x
_atom_site_fract_y
_atom_site_fract_z
Er1 Er 0.0000 0.2429 0.0000
Er2 Er 0.1693 0.2473 0.6698
Hg1 Hg 0.0000 0.0000 0.5000
Hg2 Hg 0.1672 0.0000 0.1680
Hg3 Hg 0.1720 0.5000 0.1717
Bi1 Bi 0.0000 0.5000 0.5000
# - Total magnetic moment: 0.0 Bohr magnetons per cell
# - E_form: -0.481 eV/atom
# - Density of states at the Fermi level: 12.308 states/eV/f.u.

=====

# ZrAlAg2I PBE optimized geometry
data_ZrAlAg2I
_chemical_formula_sum 'Zr1 Al1 Ag2 I1'
_space_group_name_H-M_alt 'P 4/m m m'
_space_group_IT_number 123
_space_group_name_Hall '-P 4 2'
_cell_length_a 4.8084
_cell_length_b 4.8084
_cell_length_c 5.6841
_cell_angle_alpha 90.00
_cell_angle_beta 90.00
_cell_angle_gamma 90.00
loop_
_atom_site_label
_atom_site_type_symbol
_atom_site_fract_x
_atom_site_fract_y
_atom_site_fract_z
Zr1 Zr 0.0000 0.0000 0.0000
Al1 Al 0.5000 0.5000 0.5000
Ag1 Ag 0.0000 0.5000 0.5000
I1 I 0.5000 0.5000 0.0000
# - Total magnetic moment: 2.0 Bohr magnetons per cell
# - ΔE_f (raw): 696 meV/atom
# - Density of states at the Fermi level: 5.232 states/eV/f.u.

=====

# Tb5ErIr6 PBE optimized geometry
data_Tb5ErIr6
_chemical_formula_sum 'Tb5 Er1 Ir6'
_space_group_name_H-M_alt 'P 1 2/m 1'
_space_group_IT_number 10
_space_group_name_Hall '-P 2y'
_cell_length_a 4.7480
_cell_length_b 7.1734
_cell_length_c 7.5104
_cell_angle_alpha 90.00
_cell_angle_beta 108.34
_cell_angle_gamma 90.00
loop_
_atom_site_label
_atom_site_type_symbol
_atom_site_fract_x
_atom_site_fract_y
_atom_site_fract_z
Tb1 Tb 0.0000 0.0000 0.0000
Tb2 Tb 0.3335 0.0000 0.6669
Tb3 Tb 0.3337 0.5000 0.6674
Er1 Er 0.0000 0.5000 0.0000
Ir1 Ir 0.1658 0.2511 0.3317
Ir2 Ir 0.5000 0.2525 0.0000
# - Total magnetic moment: 0.0 Bohr magnetons per cell
# - E_form: -0.798 eV/atom
# - Density of states at the Fermi level: 3.619 states/eV/f.u.

=====

# MgGaH2 PBE optimized geometry
data_MgGaH2
_chemical_formula_sum 'Mg4 Ga4 H8'
_space_group_name_H-M_alt 'C 1 m 1'
_space_group_IT_number 8
_space_group_name_Hall 'C -2y'
_cell_length_a 13.6968
_cell_length_b 3.1173
_cell_length_c 5.1693
_cell_angle_alpha 90.00
_cell_angle_beta 110.79
_cell_angle_gamma 90.00
loop_
_atom_site_label
_atom_site_type_symbol
_atom_site_fract_x
_atom_site_fract_y
_atom_site_fract_z
Mg1 Mg 0.0000 0.0000 0.0000
Mg2 Mg 0.1287 0.5000 0.6252
Ga1 Ga 0.3311 0.5000 0.1680
Ga2 Ga 0.3441 0.0000 0.6167
H1 H 0.0547 0.0000 0.6986
H2 H 0.0606 0.5000 0.2241
H3 H 0.1994 0.5000 0.0172
H4 H 0.2107 0.0000 0.5595
# - Offset from the most stable computed form: 0.0307 eV per atom
# - Total magnetic moment: 0.0 Bohr magnetons per cell
# - Density of states at the Fermi level: 1.018 states/eV/f.u.

=====

# MnBe3Cu PBE optimized geometry
data_MnBe3Cu
_chemical_formula_sum 'Mn1 Be3 Cu1'
_space_group_name_H-M_alt 'P m -3 m'
_space_group_IT_number 221
_space_group_name_Hall '-P 4 2 3'
_cell_length_a 3.9773
_cell_length_b 3.9773
_cell_length_c 3.9773
_cell_angle_alpha 90.00
_cell_angle_beta 90.00
_cell_angle_gamma 90.00
loop_
_atom_site_label
_atom_site_type_symbol
_atom_site_fract_x
_atom_site_fract_y
_atom_site_fract_z
Mn1 Mn 0.0000 0.0000 0.0000
Be1 Be 0.0000 0.0000 0.5000
Cu1 Cu 0.5000 0.5000 0.5000
# - Offset from the most stable computed form: 0.4513 eV per atom
# - Total magnetic moment: 1.6 Bohr magnetons per cell
# - E_form: 1.089 eV/atom
# - Density of states at the Fermi level: 2.769 states/eV/f.u.

=====

# Y3V5Se12 PBE optimized geometry
data_Y3V5Se12
_chemical_formula_sum 'Y24 V40 Se96'
_space_group_name_H-M_alt 'I a -3 d'
_space_group_IT_number 230
_space_group_name_Hall '-I 4bd 2c 3'
_cell_length_a 15.7234
_cell_length_b 15.7234
_cell_length_c 15.7234
_cell_angle_alpha 90.00
_cell_angle_beta 90.00
_cell_angle_gamma 90.00
loop_
_atom_site_label
_atom_site_type_symbol
_atom_site_fract_x
_atom_site_fract_y
_atom_site_fract_z
Y1 Y 0.0000 0.2500 0.1250
V1 V 0.0000 0.0000 0.0000
V2 V 0.0000 0.2500 0.3750
Se1 Se 0.0291 0.0612 0.6493
# - Total magnetic moment: 80.0 Bohr magnetons per cell
# - ΔE_f (raw): -989 meV/atom
# - Density of states at the Fermi level: 7.703 states/eV/f.u.

=====

# CsTlTeO4 PBE optimized geometry
data_CsTlTeO4
_chemical_formula_sum 'Cs4 Tl4 Te4 O16'
_space_group_name_H-M_alt 'F -4 3 m'
_space_group_IT_number 216
_space_group_name_Hall 'F -4 2 3'
_cell_length_a 9.9994
_cell_length_b 9.9994
_cell_length_c 9.9994
_cell_angle_alpha 90.00
_cell_angle_beta 90.00
_cell_angle_gamma 90.00
loop_
_atom_site_label
_atom_site_type_symbol
_atom_site_fract_x
_atom_site_fract_y
_atom_site_fract_z
Cs1 Cs 0.0000 0.0000 0.0000
Tl1 Tl 0.2500 0.2500 0.2500
Te1 Te 0.0000 0.0000 0.5000
O1 O 0.1074 0.1074 0.3926
# - Total magnetic moment: 0.0 Bohr magnetons per cell
# - ΔE_f (raw): -1031 meV/atom
# - Density of states at the Fermi level: 0.000 states/eV/f.u.

=====

# NaPmHg3 PBE optimized geometry
data_NaPmHg3
_chemical_formula_sum 'Na2 Pm2 Hg6'
_space_group_name_H-M_alt 'P 1 21/m 1'
_space_group_IT_number 11
_space_group_name_Hall '-P 2yb'
_cell_length_a 5.4261
_cell_length_b 5.4538
_cell_length_c 9.0196
_cell_angle_alpha 90.00
_cell_angle_beta 107.39
_cell_angle_gamma 90.00
loop_
_atom_site_label
_atom_site_type_symbol
_atom_site_fract_x
_atom_site_fract_y
_atom_site_fract_z
Na1 Na 0.1449 0.2500 0.2882
Pm1 Pm 0.3522 0.2500 0.7040
Hg1 Hg 0.0502 0.7500 0.1002
Hg2 Hg 0.2519 0.7500 0.5057
Hg3 Hg 0.4492 0.7500 0.9018
# - Offset from the most stable computed form: 0.0000 eV per atom
# - Total magnetic moment: 0.0 Bohr magnetons per cell
# - E_form: -0.352 eV/atom
# - Density of states at the Fermi level: 1.570 states/eV/f.u.

=====

# CuAs2SeO PBE optimized geometry
data_CuAs2SeO
_chemical_formula_sum 'Cu1 As2 Se1 O1'
_space_group_name_H-M_alt 'P 4/m m m'
_space_group_IT_number 123
_space_group_name_Hall '-P 4 2'
_cell_length_a 4.7020
_cell_length_b 4.7020
_cell_length_c 4.5568
_cell_angle_alpha 90.00
_cell_angle_beta 90.00
_cell_angle_gamma 90.00
loop_
_atom_site_label
_atom_site_type_symbol
_atom_site_fract_x
_atom_site_fract_y
_atom_site_fract_z
Cu1 Cu 0.0000 0.0000 0.0000
As1 As 0.0000 0.5000 0.0000
Se1 Se 0.0000 0.0000 0.5000
O1 O 0.5000 0.5000 0.5000
# - Offset from the most stable computed form: 0.5363 eV per atom
# - Total magnetic moment: 0.0 Bohr magnetons per cell
# - ΔE_f (raw): 1022 meV/atom
# - Density of states at the Fermi level: 8.344 states/eV/f.u.

=====

# ZrHO2 PBE optimized geometry
data_ZrHO2
_chemical_formula_sum 'Zr4 H4 O8'
_space_group_name_H-M_alt 'F m -3 m'
_space_group_IT_number 225
_space_group_name_Hall '-F 4 2 3'
_cell_length_a 5.2240
_cell_length_b 5.2240
_cell_length_c 5.2240
_cell_angle_alpha 90.00
_cell_angle_beta 90.00
_cell_angle_gamma 90.00
loop_
_atom_site_label
_atom_site_type_symbol
_atom_site_fract_x
_atom_site_fract_y
_atom_site_fract_z
Zr1 Zr 0.0000 0.0000 0.0000
H1 H 0.0000 0.0000 0.5000
O1 O 0.2500 0.2500 0.2500
# - Total magnetic moment: 4.0 Bohr magnetons per cell
# - E: -115.50 eV per cell
# - Density of states at the Fermi level: 0.003 states/eV/f.u.

=====

# Ag3SnI PBE optimized geometry
data_Ag3SnI
_chemical_formula_sum 'Ag3 Sn1 I1'
_space_group_name_H-M_alt 'P m -3 m'
_space_group_IT_number 221
_space_group_name_Hall '-P 4 2 3'
_cell_length_a 5.3493
_cell_length_b 5.3493
_cell_length_c 5.3493
_cell_angle_alpha 90.00
_cell_angle_beta 90.00
_cell_angle_gamma 90.00
loop_
_atom_site_label
_atom_site_type_symbol
_atom_site_fract_x
_atom_site_fract_y
_atom_site_fract_z
Ag1 Ag 0.0000 0.0000 0.5000
Sn1 Sn 0.0000 0.0000 0.0000
I1 I 0.5000 0.5000 0.5000
# - Offset from the most stable computed form: 0.0000 eV per atom
# - Total magnetic moment: 0.0 Bohr magnetons per cell
# - ΔE_f (raw): 482 meV/atom
# - Density of states at the Fermi level: 10.029 states/eV/f.u.

=====

# YSeBr2 PBE optimized geometry
data_YSeBr2
_chemical_formula_sum 'Y3 Se3 Br6'
_space_group_name_H-M_alt 'R -3 m'
_space_group_IT_number 166
_space_group_name_Hall '-R 3 2"'
_cell_length_a 3.7296
_cell_length_b 3.7296
_cell_length_c 31.6936
_cell_angle_alpha 90.00
_cell_angle_beta 90.00
_cell_angle_gamma 120.00
loop_
_atom_site_label
_atom_site_type_symbol
_atom_site_fract_x
_atom_site_fract_y
_atom_site_fract_z
Y1 Y 0.0000 0.0000 0.0000
Se1 Se 0.0000 0.0000 0.5000
Br1 Br 0.0000 0.0000 0.3919
# - Offset from the most stable computed form: 0.5801 eV per atom
# - Total magnetic moment: 0.0 Bohr magnetons per cell
# - ΔE_f (raw): -786 meV/atom
# - Density of states at the Fermi level: 2.911 states/eV/f.u.

=====

The highest density of states at the Fermi level belongs to which entry?
Er6Hg5Bi

=====

The lowest density of states at the Fermi level belongs to which entry?
CsTlTeO4

=====

Look up the density of states at the Fermi level of the seventh one.
0.000 states/eV/f.u.

=====

Repeat the first record exactly.
# Er6Hg5Bi PBE optimized geometry
data_Er6Hg5Bi
_chemical_formula_sum 'Er12 Hg10 Bi2'
_space_group_name_H-M_alt 'C 1 2/m 1'
_space_group_IT_number 12
_space_group_name_Hall '-C 2y'
_cell_length_a 16.6156
_cell_length_b 7.4220
_cell_length_c 5.2594
_cell_angle_alpha 90.00
_cell_angle_beta 108.14
_cell_angle_gamma 90.00
loop_
_atom_site_label
_atom_site_type_symbol
_atom_site_fract_x
_atom_site_fract_y
_atom_site_fract_z
Er1 Er 0.0000 0.2429 0.0000
Er2 Er 0.1693 0.2473 0.6698
Hg1 Hg 0.0000 0.0000 0.5000
Hg2 Hg 0.1672 0.0000 0.1680
Hg3 Hg 0.1720 0.5000 0.1717
Bi1 Bi 0.0000 0.5000 0.5000
# - Total magnetic moment: 0.0 Bohr magnetons per cell
# - E_form: -0.481 eV/atom
# - Density of states at the Fermi level: 12.308 states/eV/f.u.